No. 1
## Tm3Ir (PBE)

Data for Tm3Ir after structural relaxation.

For the total energy, the calculation gives -5.78 eV per atom. For the calculated volume, the calculation gives 109 Å³/cell.

The structure belongs to space group Pmm2 (No. 25); the cell edges are 3.329, 3.623 and 9.077 Å and the angles 90.00°, 90.00° and 90.00°. The inequivalent atoms are Tm at (0.000, 0.000, 0.000), Tm at (0.000, 0.500, 0.341), Tm at (0.500, 0.500, 0.717) and Ir at (0.500, 0.000, 0.491).

***

No. 2
## Tm4Ir3 (PBE)

Data for Tm4Ir3 after structural relaxation.

For the total energy, the calculation gives -7.25 eV per atom. For the calculated volume, the calculation gives 456 Å³/cell.

The structure belongs to space group R-3m (No. 166, hexagonal axes); the cell edges are 4.7463, 4.7463 and 23.3935 Å and the angles 90.00°, 90.00° and 120.00°. The inequivalent atoms are Tm at (0.0000, 0.0000, 0.1237), Tm at (0.0000, 0.0000, 0.3744), Ir at (0.0000, 0.0000, 0.2500) and Ir at (0.0000, 0.0000, 0.5000).

***

No. 3
## Tm3Ir2 (PBE)

Data for Tm3Ir2 after structural relaxation.

For the total energy, the calculation gives -7.09 eV per atom. For the calculated volume, the calculation gives 228 Å³/cell. The offset from the most stable computed form comes out at 0.000 eV/atom.

The structure belongs to space group C2/m (No. 12); the cell edges are 8.177, 4.695 and 5.936 Å and the angles 90.00°, 90.19° and 90.00°. The inequivalent atoms are Tm at (0.000, 0.000, 0.000), Tm at (0.166, 0.500, 0.664) and Ir at (0.167, 0.500, 0.170).

***

No. 4
## Tm7Ir3 (PBE)

Data for Tm7Ir3 after structural relaxation.

For the total energy, the calculation gives -6.51 eV per atom. For the calculated volume, the calculation gives 496 Å³/cell.

The structure belongs to space group P6_3mc (No. 186); the cell edges are 9.6709, 9.6709 and 6.1192 Å and the angles 90.00°, 90.00° and 120.00°. The inequivalent atoms are Tm at (0.0818, 0.5409, 0.0000), Tm at (0.1241, 0.2483, 0.6923), Tm at (0.3333, 0.6667, 0.4899) and Ir at (0.1894, 0.3789, 0.2677).